# MgVPt3

A relaxed structure of MgVPt3 (PBE, Alexandria).

Cell: 4.567 4.567 4.567 Å, 90.00 90.00 90.00°
Sites, in units of the cell vectors:
1 V 0.500 0.500 0.500
2 Pt 0.000 0.500 0.000
3 Pt 0.500 0.000 0.000
4 Mg 0.000 0.000 0.000
5 Pt 0.000 0.000 0.500

Values from the calculation:
space group = Pm-3m (221)
formation energy = 0.796 eV per atom

# MgVPt6

A relaxed structure of MgVPt6 (PBE, Alexandria).

Cell: 3.937 3.937 7.869 Å, 90.00 90.00 90.00°
Sites, in units of the cell vectors:
1 Pt 0.000 0.500 0.741
2 Pt 0.500 0.500 0.000
3 V 0.000 0.000 0.500
4 Pt 0.000 0.500 0.259
5 Pt 0.500 0.500 0.500
6 Mg 0.000 0.000 0.000
7 Pt 0.500 0.000 0.259
8 Pt 0.500 0.000 0.741

Values from the calculation:
space group = P4/mmm (123)
formation energy = -0.580 eV per atom

# MgV2Pt9

A relaxed structure of MgV2Pt9 (PBE, Alexandria).

Cell: 3.925 3.925 11.832 Å, 90.00 90.00 90.00°
Sites, in units of the cell vectors:
1 Pt 0.000 0.500 0.826
2 V 0.000 0.000 0.671
3 Pt 0.000 0.500 0.174
4 Pt 0.500 0.000 0.826
5 Pt 0.000 0.500 0.500
6 Pt 0.500 0.500 0.664
7 Pt 0.500 0.500 0.336
8 Mg 0.000 0.000 0.000
9 Pt 0.500 0.000 0.500
10 V 0.000 0.000 0.329
11 Pt 0.500 0.000 0.174
12 Pt 0.500 0.500 0.000

Values from the calculation:
space group = P4/mmm (123)
formation energy = -0.539 eV per atom